Record 1
Material: Ca2TlGa
Method: DFT, PBE-GGA
State: relaxed

Values from the calculation:
**Crystal system**: tetragonal
**DOS at the Fermi energy**: 1.09 states/eV per atom
**VASP energy**: -2.459 eV/atom
**Calculated volume**: 31.03 Å³/atom
**M_tot**: 0.000 μB/atom
**Space-group type**: I-42d

Lattice parameters (Å, degrees): 8.393 8.393 6.902 52.56 52.56 90.00
Fractional coordinates of all 8 atoms:
Ca (0.375, 0.392, 0.750)
Tl (0.000, 0.000, 0.000)
Ca (0.875, 0.858, 0.750)
Ca (0.142, 0.625, 0.250)
Ga (0.250, 0.750, 0.500)
Ga (0.500, 0.500, 0.000)
Ca (0.608, 0.125, 0.250)
Tl (0.750, 0.250, 0.500)

***

Record 2
Material: K2PuCuCl6
Method: DFT, PBE-GGA
State: relaxed

Values from the calculation:
**Crystal system**: trigonal
**DOS at the Fermi energy**: 0.84 states/eV per atom
**VASP energy**: -4.759 eV/atom
**Calculated volume**: 29.68 Å³/atom
**M_tot**: 0.500 μB/atom
**Space-group type**: P-3m1

Lattice parameters (Å, degrees): 6.478 7.274 7.274 120.00 90.00 90.00
Each line ends with the local moment (μB).
Fractional coordinates of all 10 atoms:
Cl (0.233, 0.834, 0.669)  -0.02
Cl (0.233, 0.834, 0.166)  -0.02
Cl (0.233, 0.331, 0.166)  -0.02
Cl (0.767, 0.669, 0.834)  -0.02
Cu (0.000, 0.000, 0.000)  -0.05
Cl (0.767, 0.166, 0.331)  -0.02
Pu (0.500, 0.000, 0.000)  5.06
K (0.160, 0.333, 0.667)  0.00
K (0.840, 0.667, 0.333)  0.00
Cl (0.767, 0.166, 0.834)  -0.02

***

Record 3
Material: NaPdC2
Method: DFT, PBE-GGA
State: relaxed

Values from the calculation:
**Crystal system**: tetragonal
**DOS at the Fermi energy**: 0.61 states/eV per atom
**VASP energy**: -4.681 eV/atom
**Calculated volume**: 17.63 Å³/atom
**M_tot**: 0.000 μB/atom
**Space-group type**: I-42d

Lattice parameters (Å, degrees): 5.555 5.555 6.027 62.56 62.56 90.00
Fractional coordinates of all 8 atoms:
C (0.019, 0.625, 0.250)
Pd (0.750, 0.250, 0.500)
Pd (0.000, 0.000, 0.000)
C (0.731, 0.125, 0.250)
Na (0.500, 0.500, 0.000)
C (0.375, 0.269, 0.750)
Na (0.250, 0.750, 0.500)
C (0.875, 0.981, 0.750)